[1]
VASP calculation (PBE-GGA) on a geometry-optimized Cd2CuW structure.

```
4
Lattice="-2.069 2.069 4.066 2.069 -2.069 4.066 2.069 2.069 -4.066" Properties=species:S:1:pos:R:3 pbc="T T T"
Cd 0.000 0.000 0.000
Cd 0.000 2.069 2.033
Cu 2.069 0.000 2.033
W 0.000 0.000 4.066
```

## Properties
Relative energy among the computed polymorphs ... 0.435 eV per atom
Raw total energy ... -15.78 eV per cell
E_form ... 0.7746 eV/atom



[2]
VASP calculation (PBE-GGA) on a geometry-optimized CdCu4W structure.

```
6
Lattice="0.000 3.469 3.469 3.469 0.000 3.469 3.469 3.469 0.000" Properties=species:S:1:pos:R:3 pbc="T T T"
Cd 0.000 0.000 0.000
Cu 4.333 2.606 2.606
Cu 2.606 4.333 2.606
Cu 2.606 2.606 4.333
Cu 4.333 4.333 4.333
W 1.735 1.735 1.735
```

## Properties
Raw total energy ... -27.92 eV per cell
E_form ... 0.3884 eV/atom



[3]
VASP calculation (PBE-GGA) on a geometry-optimized CdCuW2 structure.

```
4
Lattice="1.404 0.811 9.570 -1.404 0.811 9.570 0.000 -1.622 9.570" Properties=species:S:1:pos:R:3 pbc="T T T"
Cd 0.000 0.000 0.000
Cu 0.000 0.000 7.238
W 0.000 0.000 14.616
W 0.000 0.000 21.762
```

## Properties
Raw total energy ... -29.29 eV per cell
E_form ... 0.4069 eV/atom



no.,spin magnetization (μB/atom)
1,0.18
2,0.29
3,0.00